Entry 1:
## Tc2PdPb (PBE)

Data for crystalline Tc2PdPb at its relaxed geometry.

a b c (Å): 7.5458 7.5458 5.9503
angles (deg): 50.65 50.65 90.00
Last column: nearest neighbours and their distance in Å.
Fractional positions:
Tc 0.3750 0.3889 0.7500  2 Tc 2.64, 2 Pd 2.68, 2 Pb 2.82
Tc 0.6111 0.1250 0.2500  2 Tc 2.64, 2 Pd 2.68, 2 Pb 2.82
Tc 0.1389 0.6250 0.2500  2 Tc 2.64, 2 Pd 2.68, 2 Pb 2.82
Tc 0.8750 0.8611 0.7500  2 Tc 2.64, 2 Pd 2.68, 2 Pb 2.82
Pd 0.5000 0.5000 0.0000  2 Pb 2.63, 4 Tc 2.68
Pd 0.2500 0.7500 0.5000  2 Pb 2.63, 4 Tc 2.68
Pb 0.7500 0.2500 0.5000  2 Pd 2.63, 4 Tc 2.82
Pb 0.0000 0.0000 0.0000  2 Pd 2.63, 4 Tc 2.82

Summary:
* calculated formation energy: 901 meV/atom


Entry 2:
## TePdPb (PBE)

Data for crystalline TePdPb at its relaxed geometry.

a b c (Å): 4.5759 4.5258 4.5258
angles (deg): 120.00 90.00 90.00
Last column: nearest neighbours and their distance in Å.
Fractional positions:
Te 0.1953 0.3333 0.6667  3 Pd 2.67
Pd 0.0721 0.0000 0.0000  3 Te 2.67
Pb 0.7326 0.6667 0.3333  3 Pd 3.04, 3 Te 3.36

Summary:
* formation energy (no corrections): -0.3199 eV per atom
* excess energy over the best structure of this formula in the dataset: 22 meV per atom


Entry 3:
## TePd2Pb (PBE)

Data for crystalline TePd2Pb at its relaxed geometry.

a b c (Å): 3.4811 3.4811 6.9369
angles (deg): 90.00 90.00 90.00
Last column: nearest neighbours and their distance in Å.
Fractional positions:
Te 0.5000 0.5000 0.0000  8 Pd 2.90
Pd 0.0000 0.0000 0.2210  4 Te 2.90, 1 Pd 3.07, 4 Pb 3.13
Pd 0.0000 0.0000 0.7790  4 Te 2.90, 1 Pd 3.07, 4 Pb 3.13
Pb 0.5000 0.5000 0.5000  8 Pd 3.13, 2 Te 3.47, 4 Pb 3.48

Summary:
* formation energy (no corrections): -0.1722 eV per atom
* excess energy over the best structure of this formula in the dataset: 160 meV per atom


Entry 4:
## TePd8Pb2 (PBE)

Data for crystalline TePd8Pb2 at its relaxed geometry.

a b c (Å): 4.7851 5.8532 8.1114
angles (deg): 111.19 107.16 90.00
Last column: nearest neighbours and their distance in Å.
Fractional positions:
Pd 0.6484 0.4041 0.2967  1 Te 2.60, 2 Pb 2.82, 4 Pd 2.84-2.86
Pd 0.0000 0.7575 0.0000  2 Te 2.78, 4 Pd 2.84-3.01, 2 Pb 2.94
Pd 0.6484 0.8931 0.2967  1 Te 2.60, 2 Pb 2.82, 4 Pd 2.84-2.86
Pd 0.3516 0.5959 0.7033  1 Te 2.60, 2 Pb 2.82, 4 Pd 2.84-2.86
Pd 0.1806 0.1808 0.3612  8 Pd 2.84-2.96, 4 Pb 2.93-3.16
Pd 0.0000 0.2425 0.0000  2 Te 2.78, 4 Pd 2.84-3.01, 2 Pb 2.94
Pd 0.8194 0.8192 0.6388  8 Pd 2.84-2.96, 4 Pb 2.93-3.16
Pd 0.3516 0.1069 0.7033  1 Te 2.60, 2 Pb 2.82, 4 Pd 2.84-2.86
Pb 0.1758 0.6759 0.3515  10 Pd 2.82-2.94
Pb 0.8242 0.3241 0.6485  10 Pd 2.82-2.94
Te 0.5000 0.0000 0.0000  8 Pd 2.60-2.78

Summary:
* formation energy (no corrections): -0.2264 eV per atom


Entry 5:
## TePd14Pb (PBE)

Data for crystalline TePd14Pb at its relaxed geometry.

a b c (Å): 5.8244 5.8244 7.6597
angles (deg): 90.00 90.00 90.00
Last column: nearest neighbours and their distance in Å.
Fractional positions:
Pb 0.3750 0.3750 0.5000  12 Pd 2.84-2.91
Pd 0.8750 0.3750 0.5000  8 Pd 2.83, 2 Te 2.91, 2 Pb 2.91
Pd 0.6272 0.6272 0.2462  10 Pd 2.78-2.94, 1 Te 2.82, 1 Pb 2.84
Pd 0.1228 0.6272 0.2463  10 Pd 2.78-2.94, 1 Te 2.82, 1 Pb 2.84
Pd 0.3750 0.8750 0.0000  12 Pd 2.79-2.91
Pd 0.6272 0.1228 0.2463  10 Pd 2.78-2.94, 1 Te 2.82, 1 Pb 2.84
Pd 0.1228 0.6272 0.7537  10 Pd 2.78-2.94, 1 Te 2.82, 1 Pb 2.84
Pd 0.6272 0.1228 0.7537  10 Pd 2.78-2.94, 1 Te 2.82, 1 Pb 2.84
Pd 0.3750 0.8750 0.5000  8 Pd 2.83, 2 Te 2.91, 2 Pb 2.91
Pd 0.6272 0.6272 0.7538  10 Pd 2.78-2.94, 1 Te 2.82, 1 Pb 2.84
Pd 0.8750 0.3750 0.0000  12 Pd 2.79-2.91
Pd 0.1228 0.1228 0.7537  10 Pd 2.78-2.94, 1 Te 2.82, 1 Pb 2.84
Pd 0.3750 0.3750 0.0000  12 Pd 2.81-2.91
Pd 0.1228 0.1228 0.2463  10 Pd 2.78-2.94, 1 Te 2.82, 1 Pb 2.84
Pd 0.8750 0.8750 0.0000  12 Pd 2.78-2.91
Te 0.8750 0.8750 0.5000  12 Pd 2.82-2.91

Summary:
* formation energy (no corrections): -0.1174 eV per atom


Entry 6:
## TePd2Pb (PBE)

Data for crystalline TePd2Pb at its relaxed geometry.

a b c (Å): 4.0994 4.0994 6.7190
angles (deg): 72.24 72.24 60.00
Last column: nearest neighbours and their distance in Å.
Fractional positions:
Pd 0.0840 0.0840 0.7479  3 Pb 2.81, 3 Te 2.81, 1 Pd 3.10
Pd 0.2482 0.2482 0.2555  3 Pb 2.85, 3 Te 2.90, 1 Pd 3.10
Pb 0.4973 0.4973 0.5080  6 Pd 2.81-2.85
Te 0.6705 0.6705 0.9886  6 Pd 2.81-2.90

Summary:
* formation energy (no corrections): -0.2047 eV per atom
* excess energy over the best structure of this formula in the dataset: 127 meV per atom


Entry 7:
## TePd6Pb (PBE)

Data for crystalline TePd6Pb at its relaxed geometry.

a b c (Å): 4.0962 4.0962 8.2165
angles (deg): 90.00 90.00 90.00
Last column: nearest neighbours and their distance in Å.
Fractional positions:
Pd 0.0000 0.5000 0.2479  2 Te 2.89, 8 Pd 2.89-2.91, 2 Pb 2.91
Pd 0.5000 0.5000 0.0000  8 Pd 2.89, 4 Te 2.90
Pd 0.5000 0.0000 0.7521  2 Te 2.89, 8 Pd 2.89-2.91, 2 Pb 2.91
Pd 0.0000 0.5000 0.7521  2 Te 2.89, 8 Pd 2.89-2.91, 2 Pb 2.91
Pd 0.5000 0.5000 0.5000  4 Pb 2.90, 8 Pd 2.91
Pd 0.5000 0.0000 0.2479  2 Te 2.89, 8 Pd 2.89-2.91, 2 Pb 2.91
Te 0.0000 0.0000 0.0000  12 Pd 2.89-2.90
Pb 0.0000 0.0000 0.5000  12 Pd 2.90-2.91

Summary:
* formation energy (no corrections): -0.2206 eV per atom
* excess energy over the best structure of this formula in the dataset: 0 meV per atom


Entry 8:
## TePd2Pb2 (PBE)

Data for crystalline TePd2Pb2 at its relaxed geometry.

a b c (Å): 3.8499 6.7574 10.4194
angles (deg): 101.06 79.35 73.45
Last column: nearest neighbours and their distance in Å.
Fractional positions:
Pd 0.8961 0.7210 0.4868  3 Te 2.76-2.80, 2 Pb 2.89, 1 Pd 2.95
Pd 0.1039 0.2789 0.5132  3 Te 2.76-2.80, 2 Pb 2.89, 1 Pd 2.95
Pd 0.3843 0.0893 0.1420  1 Te 2.72, 1 Pd 2.84, 6 Pb 2.93-3.02
Pd 0.6157 0.9107 0.8580  1 Te 2.72, 1 Pd 2.84, 6 Pb 2.93-3.02
Pb 0.1100 0.7456 0.0344  4 Pd 2.93-3.02
Pb 0.8900 0.2544 0.9656  4 Pd 2.93-3.02
Pb 0.6532 0.3693 0.3243  6 Pd 2.89-3.11
Pb 0.3468 0.6307 0.6757  6 Pd 2.89-3.11
Te 0.3936 0.8750 0.3379  4 Pd 2.72-2.80
Te 0.6064 0.1250 0.6621  4 Pd 2.72-2.80

Summary:
* formation energy (no corrections): -0.2229 eV per atom
* excess energy over the best structure of this formula in the dataset: 6 meV per atom


Entry 9:
## TePd4Pb (PBE)

Data for crystalline TePd4Pb at its relaxed geometry.

a b c (Å): 5.4403 4.8954 9.1446
angles (deg): 105.44 107.31 90.00
Last column: nearest neighbours and their distance in Å.
Fractional positions:
Pd 0.2462 0.6610 0.8211  1 Te 2.73, 3 Pb 2.89-2.95, 7 Pd 2.91-3.05
Pd 0.7538 0.3390 0.1789  1 Te 2.73, 3 Pb 2.89-2.95, 7 Pd 2.91-3.05
Pd 0.3391 0.4159 0.3332  3 Te 2.69-2.86, 1 Pb 2.80, 4 Pd 2.91-2.97
Pd 0.6609 0.5841 0.6668  3 Te 2.69-2.86, 1 Pb 2.80, 4 Pd 2.91-2.97
Pd 0.5749 0.1610 0.8211  1 Te 2.73, 3 Pb 2.89-2.95, 7 Pd 2.91-3.05
Pd 0.0059 0.0841 0.6668  3 Te 2.69-2.86, 1 Pb 2.80, 4 Pd 2.91-2.97
Pd 0.4251 0.8390 0.1789  1 Te 2.73, 3 Pb 2.89-2.95, 7 Pd 2.91-3.05
Pd 0.9941 0.9159 0.3332  3 Te 2.69-2.86, 1 Pb 2.80, 4 Pd 2.91-2.97
Te 0.0000 0.5000 0.5000  8 Pd 2.69-2.86
Te 0.5000 0.0000 0.5000  8 Pd 2.69-2.86
Pb 0.7903 0.7500 0.0000  8 Pd 2.80-2.95
Pb 0.2097 0.2500 0.0000  8 Pd 2.80-2.95

Summary:
* formation energy (no corrections): -0.2524 eV per atom
* excess energy over the best structure of this formula in the dataset: 0 meV per atom


Entry 10:
## TePdPb (PBE)

Data for crystalline TePdPb at its relaxed geometry.

a b c (Å): 3.9317 6.3985 7.4665
angles (deg): 103.13 105.27 90.00
Last column: nearest neighbours and their distance in Å.
Fractional positions:
Te 0.5853 0.8253 0.1706  1 Pd 2.57
Te 0.4147 0.1747 0.8294  1 Pd 2.57
Pd 0.6946 0.5611 0.3893  1 Te 2.57, 2 Pd 2.76
Pd 0.3054 0.4389 0.6107  1 Te 2.57, 2 Pd 2.76
Pb 0.1035 0.2491 0.2070  3 Pd 2.88-2.89
Pb 0.8965 0.7509 0.7930  3 Pd 2.88-2.89

Summary:
* formation energy (no corrections): -0.0794 eV per atom
* excess energy over the best structure of this formula in the dataset: 263 meV per atom


Entry 11:
## TePd2Pb (PBE)

Data for crystalline TePd2Pb at its relaxed geometry.

a b c (Å): 5.7139 7.3569 8.5228
angles (deg): 90.00 89.98 90.00
Last column: nearest neighbours and their distance in Å.
Fractional positions:
Te 0.7500 0.5712 0.3704  6 Pd 2.76-2.87
Te 0.2500 0.9288 0.3704  6 Pd 2.76-2.87
Te 0.2500 0.4288 0.6296  6 Pd 2.76-2.87
Te 0.7500 0.0712 0.6296  6 Pd 2.76-2.87
Pd 0.0000 0.2495 0.8608  2 Te 2.77, 2 Pd 2.86, 4 Pb 2.89
Pd 0.5000 0.7495 0.1392  2 Te 2.77, 2 Pd 2.86, 4 Pb 2.89
Pd 0.0000 0.7505 0.1392  2 Te 2.77, 2 Pd 2.86, 4 Pb 2.89
Pd 0.4996 0.2502 0.3828  4 Te 2.76-2.87, 2 Pd 2.86, 2 Pb 2.90
Pd 0.5004 0.7498 0.6172  4 Te 2.76-2.87, 2 Pd 2.86, 2 Pb 2.90
Pd 0.0004 0.7502 0.6172  4 Te 2.76-2.87, 2 Pd 2.86, 2 Pb 2.90
Pd 0.5000 0.2505 0.8608  2 Te 2.77, 2 Pd 2.86, 4 Pb 2.89
Pd 0.9996 0.2498 0.3828  4 Te 2.76-2.87, 2 Pd 2.86, 2 Pb 2.90
Pb 0.2508 0.9097 0.8788  6 Pd 2.89-2.90
Pb 0.7492 0.0903 0.1212  6 Pd 2.89-2.90
Pb 0.7508 0.5903 0.8788  6 Pd 2.89-2.90
Pb 0.2492 0.4097 0.1212  6 Pd 2.89-2.90

Summary:
* formation energy (no corrections): -0.3317 eV per atom
* excess energy over the best structure of this formula in the dataset: 0 meV per atom


Entry 12:
## TePd2Pb (PBE)

Data for crystalline TePd2Pb at its relaxed geometry.

a b c (Å): 4.9068 4.9068 4.9068
angles (deg): 60.00 60.00 60.00
Last column: nearest neighbours and their distance in Å.
Fractional positions:
Pd 0.7500 0.7500 0.7500  4 Pb 3.00, 4 Te 3.00
Pd 0.2500 0.2500 0.2500  4 Pb 3.00, 4 Te 3.00
Pb 0.5000 0.5000 0.5000  8 Pd 3.00
Te 0.0000 0.0000 0.0000  8 Pd 3.00

Summary:
* formation energy (no corrections): -0.1945 eV per atom
* excess energy over the best structure of this formula in the dataset: 137 meV per atom


Entry 13:
## TePd6Pb (PBE)

Data for crystalline TePd6Pb at its relaxed geometry.

a b c (Å): 6.8410 7.7823 5.3813
angles (deg): 43.82 46.48 58.09
Last column: nearest neighbours and their distance in Å.
Fractional positions:
Pb 0.0000 0.0000 0.0000  8 Pd 2.77-2.99
Pd 0.7463 0.9194 0.7725  1 Te 2.67, 5 Pd 2.74-2.90, 1 Pb 2.85
Pd 0.5312 0.7480 0.6547  1 Te 2.73, 2 Pb 2.77-2.99, 7 Pd 2.78-3.01
Pd 0.2537 0.0806 0.2275  1 Te 2.67, 5 Pd 2.74-2.90, 1 Pb 2.85
Pd 0.4688 0.2520 0.3453  1 Te 2.73, 2 Pb 2.77-2.99, 7 Pd 2.78-3.01
Pd 0.9662 0.4681 0.8124  7 Pd 2.73-3.01, 2 Te 2.85-2.86, 1 Pb 2.91
Pd 0.0338 0.5319 0.1876  7 Pd 2.73-3.01, 2 Te 2.85-2.86, 1 Pb 2.91
Te 0.5000 0.5000 0.5000  8 Pd 2.67-2.86

Summary:
* formation energy (no corrections): -0.1779 eV per atom
* excess energy over the best structure of this formula in the dataset: 43 meV per atom


Entry 14:
## TePd2Pb (PBE)

Data for crystalline TePd2Pb at its relaxed geometry.

a b c (Å): 4.6054 4.6054 5.5890
angles (deg): 65.67 65.67 60.00
Last column: nearest neighbours and their distance in Å.
Fractional positions:
Pb 0.0000 0.0000 0.0000  8 Pd 3.13-3.20
Pd 0.7880 0.7880 0.6361  3 Te 2.74, 3 Pd 2.98
Pd 0.2120 0.2120 0.3639  3 Te 2.74, 3 Pd 2.98
Te 0.5000 0.5000 0.5000  6 Pd 2.74

Summary:
* formation energy (no corrections): -0.2455 eV per atom
* excess energy over the best structure of this formula in the dataset: 86 meV per atom


Entry 15:
## Te2PdPb (PBE)

Data for crystalline Te2PdPb at its relaxed geometry.

a b c (Å): 9.6540 9.6540 9.6540
angles (deg): 23.39 23.39 23.39
Last column: nearest neighbours and their distance in Å.
Fractional positions:
Te 0.8860 0.8860 0.8860  3 Pd 2.70
Te 0.1140 0.1140 0.1140  3 Pd 2.70
Pd 0.5000 0.5000 0.5000  6 Te 2.70
Pb 0.0000 0.0000 0.0000  2 Te 3.21

Summary:
* formation energy (no corrections): -0.1463 eV per atom


Entry 16:
## TePd12Pb3 (PBE)

Data for crystalline TePd12Pb3 at its relaxed geometry.

a b c (Å): 4.1148 4.1148 16.3306
angles (deg): 90.00 90.00 90.00
Last column: nearest neighbours and their distance in Å.
Fractional positions:
Pd 0.5000 0.5000 0.7521  8 Pd 2.89-2.91, 4 Pb 2.91
Pd 0.5000 0.0000 0.1232  8 Pd 2.88-2.91, 2 Te 2.88, 2 Pb 2.92
Pd 0.0000 0.5000 0.8768  2 Te 2.88, 8 Pd 2.88-2.91, 2 Pb 2.92
Pd 0.5000 0.5000 0.5000  8 Pd 2.91, 4 Pb 2.91
Pd 0.5000 0.0000 0.3742  4 Pb 2.89-2.91, 8 Pd 2.91
Pd 0.0000 0.5000 0.3742  4 Pb 2.89-2.91, 8 Pd 2.91
Pd 0.5000 0.5000 0.0000  8 Pd 2.88, 4 Te 2.91
Pd 0.0000 0.5000 0.1232  2 Te 2.88, 8 Pd 2.88-2.91, 2 Pb 2.92
Pd 0.5000 0.5000 0.2479  8 Pd 2.89-2.91, 4 Pb 2.91
Pd 0.5000 0.0000 0.6258  4 Pb 2.89-2.91, 8 Pd 2.91
Pd 0.5000 0.0000 0.8768  8 Pd 2.88-2.91, 2 Te 2.88, 2 Pb 2.92
Pd 0.0000 0.5000 0.6258  4 Pb 2.89-2.91, 8 Pd 2.91
Te 0.0000 0.0000 0.0000  12 Pd 2.88-2.91
Pb 0.0000 0.0000 0.2498  12 Pd 2.89-2.92
Pb 0.0000 0.0000 0.7502  12 Pd 2.89-2.92
Pb 0.0000 0.0000 0.5000  12 Pd 2.91

Summary:
* formation energy (no corrections): -0.2585 eV per atom


Entry 17:
## Te2Pd9Pb (PBE)

Data for crystalline Te2Pd9Pb at its relaxed geometry.

a b c (Å): 4.0995 4.0995 12.2958
angles (deg): 90.00 90.00 90.00
Last column: nearest neighbours and their distance in Å.
Fractional positions:
Pd 0.5000 0.5000 0.6669  8 Pd 2.89-2.90, 4 Te 2.90
Pd 0.5000 0.0000 0.8321  8 Pd 2.89-2.91, 2 Te 2.90, 2 Pb 2.91
Pd 0.0000 0.5000 0.1679  8 Pd 2.89-2.91, 2 Te 2.90, 2 Pb 2.91
Pd 0.0000 0.5000 0.5000  4 Te 2.88, 8 Pd 2.90
Pd 0.5000 0.0000 0.1679  8 Pd 2.89-2.91, 2 Te 2.90, 2 Pb 2.91
Pd 0.5000 0.0000 0.5000  4 Te 2.88, 8 Pd 2.90
Pd 0.0000 0.5000 0.8321  8 Pd 2.89-2.91, 2 Te 2.90, 2 Pb 2.91
Pd 0.5000 0.5000 0.3331  8 Pd 2.89-2.90, 4 Te 2.90
Pd 0.5000 0.5000 0.0000  4 Pb 2.90, 8 Pd 2.91
Te 0.0000 0.0000 0.3351  12 Pd 2.88-2.90
Te 0.0000 0.0000 0.6649  12 Pd 2.88-2.90
Pb 0.0000 0.0000 0.0000  12 Pd 2.90-2.91

Summary:
* formation energy (no corrections): -0.2001 eV per atom


Entry 18:
## TePd2Pb2 (PBE)

Data for crystalline TePd2Pb2 at its relaxed geometry.

a b c (Å): 3.9669 3.9669 8.4148
angles (deg): 76.37 76.37 90.00
Last column: nearest neighbours and their distance in Å.
Fractional positions:
Pd 0.7500 0.2500 0.5000  4 Pd 2.81, 4 Pb 2.90
Pd 0.2500 0.7500 0.5000  4 Pd 2.81, 4 Pb 2.90
Pb 0.6168 0.6168 0.7664  4 Pd 2.90
Pb 0.3832 0.3832 0.2336  4 Pd 2.90
Te 0.0000 0.0000 0.0000  8 Pb 3.36

Summary:
* formation energy (no corrections): -0.0977 eV per atom
* excess energy over the best structure of this formula in the dataset: 131 meV per atom


Entry 19:
## TePd2Pb (PBE)

Data for crystalline TePd2Pb at its relaxed geometry.

a b c (Å): 3.6276 4.8047 4.8047
angles (deg): 90.00 90.00 90.00
Last column: nearest neighbours and their distance in Å.
Fractional positions:
Pb 0.5000 0.5000 0.5000  8 Pd 3.01
Pd 0.0000 0.5000 0.0000  4 Pb 3.01, 4 Te 3.01
Pd 0.0000 0.0000 0.5000  4 Pb 3.01, 4 Te 3.01
Te 0.5000 0.0000 0.0000  8 Pd 3.01

Summary:
* formation energy (no corrections): -0.1935 eV per atom
* excess energy over the best structure of this formula in the dataset: 138 meV per atom


Entry 20:
## TePd6Pb2 (PBE)

Data for crystalline TePd6Pb2 at its relaxed geometry.

a b c (Å): 3.2520 7.6873 7.6876
angles (deg): 120.00 90.00 90.00
Last column: nearest neighbours and their distance in Å.
Fractional positions:
Pd 0.5000 0.6348 0.0000  1 Te 2.81, 4 Pb 2.94, 6 Pd 3.04-3.11
Pd 0.5000 0.3652 0.3652  1 Te 2.81, 4 Pb 2.94, 6 Pd 3.04-3.11
Pd 0.5000 0.0000 0.6348  1 Te 2.81, 4 Pb 2.94, 6 Pd 3.04-3.11
Pd 0.0000 0.7097 0.7096  2 Pb 2.74, 2 Te 2.76, 4 Pd 3.04
Pd 0.0000 0.0001 0.2904  2 Pb 2.74, 2 Te 2.76, 4 Pd 3.04
Pd 0.0000 0.2903 0.0000  2 Pb 2.74, 2 Te 2.76, 4 Pd 3.04
Pb 0.0000 0.6667 0.3333  9 Pd 2.74-2.94
Pb 0.0000 0.3334 0.6667  9 Pd 2.74-2.94
Te 0.5000 0.0000 0.0000  9 Pd 2.76-2.81

Summary:
* formation energy (no corrections): -0.2459 eV per atom